Density functional theory data (GGA-PBEsol) for a relaxed structure of LiGeSe2Br.

Geometry as POSCAR:
```
LiGeSe2Br
1.0
4.911 0.000 0.000
0.000 4.911 0.000
0.000 0.000 5.509
Se Ge Br Li
2 1 1 1
Direct
0.000 0.500 0.000
0.500 0.000 0.000
0.000 0.000 0.000
0.000 0.000 0.500
0.500 0.500 0.500
```

Values from the calculation:
mass density	3.97	g/cm3
E_form (uncorrected)	-0.2109	eV/atom

***

Density functional theory data (GGA-PBEsol) for a relaxed structure of MgGeBr3.

Geometry as POSCAR:
```
MgGeBr3
1.0
-2.057 -1.427 -4.471
-1.604 -4.374 2.134
-4.410 2.256 1.309
Br Mg Ge
3 1 1
Direct
0.000 0.000 0.500
0.000 0.500 0.000
0.500 0.000 0.000
0.000 0.000 0.000
0.500 0.500 0.500
```

Values from the calculation:
mass density	4.16	g/cm3
E_form (uncorrected)	-0.4933	eV/atom

***

Density functional theory data (GGA-PBEsol) for a relaxed structure of MgGeSeBr2.

Geometry as POSCAR:
```
MgGeSeBr2
1.0
5.154 0.000 0.000
0.000 5.127 0.000
0.000 0.000 5.127
Br Se Ge Mg
2 1 1 1
Direct
0.000 0.500 0.000
0.000 0.000 0.500
0.500 0.000 0.000
0.000 0.000 0.000
0.500 0.500 0.500
```

Values from the calculation:
mass density	4.11	g/cm3
E_form (uncorrected)	-0.2311	eV/atom

***

Density functional theory data (GGA-PBEsol) for a relaxed structure of MgTaGe2Br.

Geometry as POSCAR:
```
MgTaGe2Br
1.0
4.907 0.000 0.000
0.000 4.907 0.000
0.000 0.000 5.782
Ge Br Ta Mg
2 1 1 1
Direct
0.500 0.000 0.000
0.000 0.500 0.000
0.500 0.500 0.500
0.000 0.000 0.000
0.000 0.000 0.500
```

Values from the calculation:
mass density	5.13	g/cm3
E_form (uncorrected)	0.5776	eV/atom

***

Density functional theory data (GGA-PBEsol) for a relaxed structure of MgZnGe2Br.

Geometry as POSCAR:
```
MgZnGe2Br
1.0
5.010 0.000 0.000
0.000 5.147 0.000
0.000 0.000 5.147
Mg Ge Br Zn
1 2 1 1
Direct
0.500 0.000 0.000
0.000 0.000 0.500
0.000 0.500 0.000
0.000 0.000 0.000
0.500 0.500 0.500
```

Values from the calculation:
mass density	3.94	g/cm3
E_form (uncorrected)	0.8194	eV/atom

***

Density functional theory data (GGA-PBEsol) for a relaxed structure of Mn2Ge2Br.

Geometry as POSCAR:
```
Mn2Ge2Br
1.0
-3.338 -0.955 1.254
-1.087 -0.731 -3.451
4.156 -5.099 1.745
Ge Br Mn
2 1 2
Direct
0.250 0.750 0.500
0.750 0.250 0.500
0.000 0.000 0.000
0.393 0.393 0.786
0.607 0.607 0.214
```

Values from the calculation:
mass density	6.50	g/cm3
E_form (uncorrected)	0.2594	eV/atom

***

Density functional theory data (GGA-PBEsol) for a relaxed structure of MnGeSe2Br.

Geometry as POSCAR:
```
MnGeSe2Br
1.0
4.787 0.000 0.000
0.000 4.852 0.000
0.000 0.000 4.852
Mn Se Ge Br
1 2 1 1
Direct
0.000 0.000 0.000
0.000 0.500 0.000
0.000 0.000 0.500
0.500 0.500 0.500
0.500 0.000 0.000
```

Values from the calculation:
mass density	5.39	g/cm3
E_form (uncorrected)	0.1181	eV/atom

***

Density functional theory data (GGA-PBEsol) for a relaxed structure of Ge2MoBr.

Geometry as POSCAR:
```
Ge2MoBr
1.0
4.637 0.000 0.000
2.318 4.016 0.000
2.318 1.339 3.786
Mo Ge Br
1 2 1
Direct
0.500 0.500 0.500
0.750 0.750 0.750
0.250 0.250 0.250
0.000 0.000 0.000
```

Values from the calculation:
mass density	7.56	g/cm3
E_form (uncorrected)	0.9191	eV/atom

***

Density functional theory data (GGA-PBEsol) for a relaxed structure of GeMoSBr2.

Geometry as POSCAR:
```
GeMoSBr2
1.0
4.478 0.000 0.000
0.000 5.143 0.000
0.000 0.000 5.143
Mo Ge S Br
1 1 1 2
Direct
0.000 0.000 0.000
0.500 0.500 0.500
0.500 0.000 0.000
0.000 0.500 0.000
0.000 0.000 0.500
```

Values from the calculation:
mass density	5.05	g/cm3
E_form (uncorrected)	0.2712	eV/atom

***

Density functional theory data (GGA-PBEsol) for a relaxed structure of GeRuBr2N.

Geometry as POSCAR:
```
GeRuBr2N
1.0
3.608 0.000 0.000
0.000 5.265 0.000
0.000 0.000 5.265
Br Ru Ge N
2 1 1 1
Direct
0.000 0.500 0.000
0.000 0.000 0.500
0.500 0.000 0.000
0.500 0.500 0.500
0.000 0.000 0.000
```

Values from the calculation:
mass density	5.77	g/cm3
E_form (uncorrected)	0.7894	eV/atom

***

Density functional theory data (GGA-PBEsol) for a relaxed structure of NbZn2GeBr.

Geometry as POSCAR:
```
NbZn2GeBr
1.0
-2.343 1.646 -3.839
0.630 -4.472 -2.302
-4.376 -1.631 1.972
Nb Zn Ge Br
1 2 1 1
Direct
0.000 0.000 0.000
0.000 0.500 0.000
0.000 0.000 0.500
0.500 0.500 0.500
0.500 0.000 0.000
```

Values from the calculation:
mass density	5.08	g/cm3
E_form (uncorrected)	0.8815	eV/atom

***

Density functional theory data (GGA-PBEsol) for a relaxed structure of NiGeBr3.

Geometry as POSCAR:
```
NiGeBr3
1.0
5.228 0.000 0.000
0.000 5.228 0.000
0.000 0.000 5.228
Br Ni Ge
3 1 1
Direct
0.000 0.500 0.000
0.500 0.000 0.000
0.000 0.000 0.500
0.500 0.500 0.500
0.000 0.000 0.000
```

Values from the calculation:
mass density	4.31	g/cm3
E_form (uncorrected)	0.4426	eV/atom

***

> What is the formula in the sixth record?

Mn2Ge2Br

***

> Number 3 is which compound?

MgGeSeBr2

***

> E_form (uncorrected) of number 2 (MgGeBr3)?

-0.4933 eV/atom

***

> The lowest E_form (uncorrected) belongs to which entry?

MgGeBr3